# 1
First-principles (PBE) data for a geometry-optimized Li2Co2Si2NiIr structure, as listed in OQMD via LeMat-Bulk.

Geometry as POSCAR:
```
Li2Co2Si2NiIr
1.0
3.964 0.000 0.000
0.000 3.964 0.000
0.000 0.000 5.745
Co Ir Li Ni Si
2 1 2 1 2
Direct
0.500 0.000 0.257 Co
0.000 0.500 0.743 Co
0.000 0.000 0.000 Ir
0.000 0.500 0.266 Li
0.500 0.000 0.734 Li
0.500 0.500 0.500 Ni
0.500 0.500 0.000 Si
0.000 0.000 0.500 Si
```

Properties
The total DFT energy (no corrections) comes out at -5.62 eV per atom. Its crystal system is tetragonal.

# 2
First-principles (PBE) data for a geometry-optimized LiCoSiIr structure, as listed in OQMD via LeMat-Bulk.

Geometry as POSCAR:
```
LiCoSiIr
1.0
-0.517 -3.159 2.511
1.615 0.083 3.734
-2.416 0.362 3.254
Co Ir Li Si
1 1 1 1
Direct
0.750 0.750 0.750 Co
0.500 0.500 0.500 Ir
0.250 0.250 0.250 Li
0.000 0.000 0.000 Si
```

Properties
For the energy above the most stable polymorph in this dataset, the calculation gives 0.419 eV per atom. Its crystal system is cubic.

What is the formula in the second record?
LiCoSiIr